Here is CaB2O10 after structural relaxation from the Alexandria database. Energies are from PBE.

Structure (CIF):
```
data_CaB2O10
_chemical_formula_sum 'Ca2 B4 O20'
_symmetry_space_group_name_H-M 'P 1'
_symmetry_Int_Tables_number 1
_cell_length_a 7.6505
_cell_length_b 5.8929
_cell_length_c 10.2215
_cell_angle_alpha 90.00
_cell_angle_beta 113.92
_cell_angle_gamma 90.00
loop_
_symmetry_equiv_pos_as_xyz
'x,y,z'
loop_
_atom_site_label
_atom_site_fract_x
_atom_site_fract_y
_atom_site_fract_z
Ca1 0.0000 0.0936 0.2500
Ca2 0.0000 0.9064 0.7500
B1 0.0964 0.3374 0.6147
B2 0.0964 0.6626 0.1147
B3 0.9036 0.3374 0.8853
B4 0.9036 0.6626 0.3853
O1 0.0081 0.2629 0.4704
O2 0.0081 0.7371 0.9704
O3 0.0987 0.4307 0.1495
O4 0.0987 0.5693 0.6495
O5 0.1740 0.1844 0.7139
O6 0.1740 0.8156 0.2139
O7 0.4011 0.2374 0.4378
O8 0.4011 0.7626 0.9378
O9 0.4524 0.2521 0.0841
O10 0.4524 0.7479 0.5841
O11 0.5476 0.2521 0.4159
O12 0.5476 0.7479 0.9159
O13 0.5989 0.2374 0.0622
O14 0.5989 0.7626 0.5622
O15 0.8260 0.1844 0.7861
O16 0.8260 0.8156 0.2861
O17 0.9013 0.4307 0.3505
O18 0.9013 0.5693 0.8505
O19 0.9919 0.2629 0.0296
O20 0.9919 0.7371 0.5296
```

- Total DFT energy (no corrections): -6.206 eV per atom
- Calculated volume: 421 Å³/cell
- SG: No. 13

***

Here is CaB3O6 after structural relaxation from the Alexandria database. Energies are from PBE.

Structure (CIF):
```
data_CaB3O6
_chemical_formula_sum 'Ca4 B12 O24'
_symmetry_space_group_name_H-M 'P 1'
_symmetry_Int_Tables_number 1
_cell_length_a 6.7118
_cell_length_b 10.2118
_cell_length_c 6.8143
_cell_angle_alpha 90.00
_cell_angle_beta 117.29
_cell_angle_gamma 90.00
loop_
_symmetry_equiv_pos_as_xyz
'x,y,z'
loop_
_atom_site_label
_atom_site_fract_x
_atom_site_fract_y
_atom_site_fract_z
Ca1 0.1045 0.0731 0.2904
Ca2 0.1045 0.4269 0.7904
Ca3 0.8955 0.5731 0.2096
Ca4 0.8955 0.9269 0.7096
B1 0.2676 0.1168 0.9093
B2 0.2676 0.3832 0.4093
B3 0.3617 0.5767 0.2305
B4 0.3617 0.9233 0.7305
B5 0.4093 0.7275 0.9697
B6 0.4093 0.7725 0.4697
B7 0.5907 0.2275 0.5303
B8 0.5907 0.2725 0.0303
B9 0.6383 0.0767 0.2695
B10 0.6383 0.4233 0.7695
B11 0.7324 0.6168 0.5907
B12 0.7324 0.8832 0.0907
O1 0.0661 0.1272 0.9360
O2 0.0661 0.3728 0.4360
O3 0.2273 0.0409 0.7075
O4 0.2273 0.4591 0.2075
O5 0.2718 0.6858 0.3126
O6 0.2718 0.8142 0.8126
O7 0.3255 0.6108 0.0056
O8 0.3255 0.8892 0.5056
O9 0.3655 0.2465 0.9050
O10 0.3655 0.2535 0.4050
O11 0.4016 0.0443 0.1165
O12 0.4016 0.4557 0.6165
O13 0.5984 0.5443 0.3835
O14 0.5984 0.9557 0.8835
O15 0.6345 0.7465 0.5950
O16 0.6345 0.7535 0.0950
O17 0.6745 0.1108 0.4944
O18 0.6745 0.3892 0.9944
O19 0.7282 0.1858 0.1874
O20 0.7282 0.3142 0.6874
O21 0.7727 0.5409 0.7925
O22 0.7727 0.9591 0.2925
O23 0.9339 0.6272 0.5640
O24 0.9339 0.8728 0.0640
```

- Total DFT energy (no corrections): -7.589 eV per atom
- Calculated volume: 415 Å³/cell
- SG: No. 14

***

Here is Ca2B2O5 after structural relaxation from the Alexandria database. Energies are from PBE.

Structure (CIF):
```
data_Ca2B2O5
_chemical_formula_sum 'Ca8 B8 O20'
_symmetry_space_group_name_H-M 'P 1'
_symmetry_Int_Tables_number 1
_cell_length_a 3.5950
_cell_length_b 6.4006
_cell_length_c 19.3893
_cell_angle_alpha 90.00
_cell_angle_beta 90.00
_cell_angle_gamma 90.00
loop_
_symmetry_equiv_pos_as_xyz
'x,y,z'
loop_
_atom_site_label
_atom_site_fract_x
_atom_site_fract_y
_atom_site_fract_z
Ca1 0.2045 0.0552 0.0615
Ca2 0.2052 0.2016 0.7901
Ca3 0.2948 0.7984 0.2901
Ca4 0.2955 0.9448 0.5615
Ca5 0.7052 0.2984 0.2099
Ca6 0.7045 0.4448 0.9385
Ca7 0.7955 0.5552 0.4385
Ca8 0.7948 0.7016 0.7099
B1 0.1450 0.4971 0.0825
B2 0.1830 0.2828 0.3436
B3 0.3170 0.7172 0.8436
B4 0.3550 0.5029 0.5825
B5 0.6450 0.0029 0.9175
B6 0.6830 0.2172 0.6564
B7 0.8170 0.7828 0.1564
B8 0.8550 0.9971 0.4175
O1 0.0011 0.6999 0.0967
O2 0.1924 0.5171 0.8530
O3 0.2019 0.4433 0.0152
O4 0.2065 0.3565 0.1345
O5 0.2116 0.1740 0.2830
O6 0.2884 0.8260 0.7830
O7 0.2935 0.6435 0.6345
O8 0.2981 0.5567 0.5152
O9 0.3076 0.4829 0.3530
O10 0.4989 0.3001 0.5967
O11 0.5011 0.8001 0.9033
O12 0.6924 0.9829 0.1470
O13 0.7019 0.0567 0.9848
O14 0.7065 0.1435 0.8655
O15 0.7116 0.3260 0.7170
O16 0.7884 0.6740 0.2170
O17 0.7935 0.8565 0.3655
O18 0.7981 0.9433 0.4848
O19 0.8076 0.0171 0.6470
O20 0.9989 0.1999 0.4033
```

- Total DFT energy (no corrections): -7.538 eV per atom
- Calculated volume: 446 Å³/cell
- SG: No. 19

***

Here is CaB2O4 after structural relaxation from the Alexandria database. Energies are from PBE.

Structure (CIF):
```
data_CaB2O4
_chemical_formula_sum 'Ca12 B24 O48'
_symmetry_space_group_name_H-M 'P 1'
_symmetry_Int_Tables_number 1
_cell_length_a 9.0880
_cell_length_b 9.0880
_cell_length_c 9.0880
_cell_angle_alpha 90.00
_cell_angle_beta 90.00
_cell_angle_gamma 90.00
loop_
_symmetry_equiv_pos_as_xyz
'x,y,z'
loop_
_atom_site_label
_atom_site_fract_x
_atom_site_fract_y
_atom_site_fract_z
Ca1 0.0000 0.0000 0.0000
Ca2 0.0000 0.5000 0.5000
Ca3 0.1270 0.6270 0.8730
Ca4 0.1270 0.8730 0.3730
Ca5 0.3730 0.1270 0.8730
Ca6 0.3730 0.3730 0.3730
Ca7 0.5000 0.0000 0.5000
Ca8 0.5000 0.5000 0.0000
Ca9 0.6270 0.6270 0.6270
Ca10 0.6270 0.8730 0.1270
Ca11 0.8730 0.1270 0.6270
Ca12 0.8730 0.3730 0.1270
B1 0.1189 0.1900 0.3451
B2 0.1189 0.3100 0.8451
B3 0.1549 0.6189 0.1900
B4 0.1549 0.8811 0.6900
B5 0.1900 0.1549 0.6189
B6 0.1900 0.3451 0.1189
B7 0.3100 0.6549 0.6189
B8 0.3100 0.8451 0.1189
B9 0.3451 0.1189 0.1900
B10 0.3451 0.3811 0.6900
B11 0.3811 0.6900 0.3451
B12 0.3811 0.8100 0.8451
B13 0.6189 0.1900 0.1549
B14 0.6189 0.3100 0.6549
B15 0.6549 0.6189 0.3100
B16 0.6549 0.8811 0.8100
B17 0.6900 0.1549 0.8811
B18 0.6900 0.3451 0.3811
B19 0.8100 0.6549 0.8811
B20 0.8100 0.8451 0.3811
B21 0.8451 0.1189 0.3100
B22 0.8451 0.3811 0.8100
B23 0.8811 0.6900 0.1549
B24 0.8811 0.8100 0.6549
O1 0.0056 0.0906 0.2823
O2 0.0056 0.4094 0.7823
O3 0.0906 0.2177 0.5056
O4 0.0906 0.2823 0.0056
O5 0.1205 0.1675 0.7680
O6 0.1205 0.3325 0.2680
O7 0.1675 0.7320 0.6205
O8 0.1675 0.7680 0.1205
O9 0.2177 0.5056 0.0906
O10 0.2177 0.9944 0.5906
O11 0.2320 0.6205 0.3325
O12 0.2320 0.8795 0.8325
O13 0.2680 0.1205 0.3325
O14 0.2680 0.3795 0.8325
O15 0.2823 0.0056 0.0906
O16 0.2823 0.4944 0.5906
O17 0.3325 0.2320 0.6205
O18 0.3325 0.2680 0.1205
O19 0.3795 0.6675 0.7680
O20 0.3795 0.8325 0.2680
O21 0.4094 0.7177 0.5056
O22 0.4094 0.7823 0.0056
O23 0.4944 0.5906 0.2823
O24 0.4944 0.9094 0.7823
O25 0.5056 0.0906 0.2177
O26 0.5056 0.4094 0.7177
O27 0.5906 0.2177 0.9944
O28 0.5906 0.2823 0.4944
O29 0.6205 0.1675 0.7320
O30 0.6205 0.3325 0.2320
O31 0.6675 0.7320 0.8795
O32 0.6675 0.7680 0.3795
O33 0.7177 0.5056 0.4094
O34 0.7177 0.9944 0.9094
O35 0.7320 0.6205 0.1675
O36 0.7320 0.8795 0.6675
O37 0.7680 0.1205 0.1675
O38 0.7680 0.3795 0.6675
O39 0.7823 0.0056 0.4094
O40 0.7823 0.4944 0.9094
O41 0.8325 0.2320 0.8795
O42 0.8325 0.2680 0.3795
O43 0.8795 0.6675 0.7320
O44 0.8795 0.8325 0.2320
O45 0.9094 0.7177 0.9944
O46 0.9094 0.7823 0.4944
O47 0.9944 0.5906 0.2177
O48 0.9944 0.9094 0.7177
```

- Total DFT energy (no corrections): -7.716 eV per atom
- Calculated volume: 751 Å³/cell
- SG: No. 205

***

Here is CaB2O4 after structural relaxation from the Alexandria database. Energies are from PBE.

Structure (CIF):
```
data_CaB2O4
_chemical_formula_sum 'Ca12 B24 O48'
_symmetry_space_group_name_H-M 'P 1'
_symmetry_Int_Tables_number 1
_cell_length_a 11.4625
_cell_length_b 6.4489
_cell_length_c 11.4361
_cell_angle_alpha 90.00
_cell_angle_beta 90.00
_cell_angle_gamma 90.00
loop_
_symmetry_equiv_pos_as_xyz
'x,y,z'
loop_
_atom_site_label
_atom_site_fract_x
_atom_site_fract_y
_atom_site_fract_z
Ca1 0.0324 0.1586 0.0000
Ca2 0.0717 0.5503 0.7666
Ca3 0.2466 0.1128 0.5440
Ca4 0.2534 0.6128 0.0440
Ca5 0.4283 0.0503 0.2666
Ca6 0.4676 0.6586 0.5000
Ca7 0.5324 0.3414 0.0000
Ca8 0.5717 0.9497 0.7666
Ca9 0.7466 0.3872 0.5440
Ca10 0.7534 0.8872 0.0440
Ca11 0.9283 0.4497 0.2666
Ca12 0.9676 0.8414 0.5000
B1 0.0249 0.3770 0.5125
B2 0.0338 0.0184 0.7453
B3 0.1406 0.7529 0.3046
B4 0.1782 0.0998 0.2091
B5 0.2125 0.6183 0.5052
B6 0.2493 0.4202 0.3161
B7 0.2507 0.9202 0.8161
B8 0.2875 0.1183 0.0052
B9 0.3218 0.5998 0.7091
B10 0.3594 0.2529 0.8046
B11 0.4662 0.5184 0.2453
B12 0.4751 0.8770 0.0125
B13 0.5249 0.1230 0.5125
B14 0.5338 0.4816 0.7453
B15 0.6406 0.7471 0.3046
B16 0.6782 0.4002 0.2091
B17 0.7125 0.8817 0.5052
B18 0.7493 0.0798 0.3161
B19 0.7507 0.5798 0.8161
B20 0.7875 0.3817 0.0052
B21 0.8218 0.9002 0.7091
B22 0.8594 0.2471 0.8046
B23 0.9662 0.9816 0.2453
B24 0.9751 0.6230 0.0125
O1 0.0067 0.8011 0.2959
O2 0.0436 0.1358 0.2117
O3 0.0464 0.1720 0.5200
O4 0.0723 0.5306 0.9652
O5 0.1063 0.5223 0.5637
O6 0.1456 0.5330 0.2766
O7 0.1501 0.9792 0.7335
O8 0.1738 0.7936 0.4289
O9 0.2013 0.8761 0.2153
O10 0.2123 0.2006 0.0977
O11 0.2184 0.9674 0.9380
O12 0.2350 0.1963 0.3087
O13 0.2650 0.6963 0.8087
O14 0.2816 0.4674 0.4380
O15 0.2877 0.7006 0.5977
O16 0.2987 0.3761 0.7153
O17 0.3262 0.2936 0.9289
O18 0.3499 0.4792 0.2335
O19 0.3544 0.0330 0.7766
O20 0.3937 0.0223 0.0637
O21 0.4277 0.0306 0.4652
O22 0.4536 0.6720 0.0200
O23 0.4564 0.6358 0.7117
O24 0.4933 0.3011 0.7959
O25 0.5067 0.6989 0.2959
O26 0.5436 0.3642 0.2117
O27 0.5464 0.3280 0.5200
O28 0.5723 0.9694 0.9652
O29 0.6063 0.9777 0.5637
O30 0.6456 0.9670 0.2766
O31 0.6501 0.5208 0.7335
O32 0.6738 0.7064 0.4289
O33 0.7013 0.6239 0.2153
O34 0.7123 0.2994 0.0977
O35 0.7184 0.5326 0.9380
O36 0.7350 0.3037 0.3087
O37 0.7650 0.8037 0.8087
O38 0.7816 0.0326 0.4380
O39 0.7877 0.7994 0.5977
O40 0.7987 0.1239 0.7153
O41 0.8262 0.2064 0.9289
O42 0.8499 0.0208 0.2335
O43 0.8544 0.4670 0.7766
O44 0.8937 0.4777 0.0637
O45 0.9277 0.4694 0.4652
O46 0.9536 0.8280 0.0200
O47 0.9564 0.8642 0.7117
O48 0.9933 0.1989 0.7959
```

- Total DFT energy (no corrections): -7.740 eV per atom
- Calculated volume: 845 Å³/cell
- SG: No. 33

***

Here is CaB2O4 after structural relaxation from the Alexandria database. Energies are from PBE.

Structure (CIF):
```
data_CaB2O4
_chemical_formula_sum 'Ca4 B8 O16'
_symmetry_space_group_name_H-M 'P 1'
_symmetry_Int_Tables_number 1
_cell_length_a 11.6455
_cell_length_b 4.3306
_cell_length_c 6.3502
_cell_angle_alpha 90.00
_cell_angle_beta 90.00
_cell_angle_gamma 90.00
loop_
_symmetry_equiv_pos_as_xyz
'x,y,z'
loop_
_atom_site_label
_atom_site_fract_x
_atom_site_fract_y
_atom_site_fract_z
Ca1 0.0000 0.2197 0.2500
Ca2 0.0000 0.7803 0.7500
Ca3 0.5000 0.2803 0.7500
Ca4 0.5000 0.7197 0.2500
B1 0.1923 0.3264 0.6246
B2 0.1923 0.6736 0.1246
B3 0.3077 0.1736 0.1246
B4 0.3077 0.8264 0.6246
B5 0.6923 0.1736 0.3754
B6 0.6923 0.8264 0.8754
B7 0.8077 0.3264 0.8754
B8 0.8077 0.6736 0.3754
O1 0.0860 0.2268 0.5872
O2 0.0860 0.7732 0.0872
O3 0.2082 0.3518 0.1489
O4 0.2082 0.6482 0.6489
O5 0.2918 0.1482 0.6489
O6 0.2918 0.8518 0.1489
O7 0.4140 0.2732 0.0872
O8 0.4140 0.7268 0.5872
O9 0.5860 0.2732 0.4128
O10 0.5860 0.7268 0.9128
O11 0.7082 0.1482 0.8511
O12 0.7082 0.8518 0.3511
O13 0.7918 0.3518 0.3511
O14 0.7918 0.6482 0.8511
O15 0.9140 0.2268 0.9128
O16 0.9140 0.7732 0.4128
```

- Total DFT energy (no corrections): -7.743 eV per atom
- Calculated volume: 320 Å³/cell
- SG: No. 60

***

Here is CaB4O7 after structural relaxation from the Alexandria database. Energies are from PBE.

Structure (CIF):
```
data_CaB4O7
_chemical_formula_sum 'Ca8 B32 O56'
_symmetry_space_group_name_H-M 'P 1'
_symmetry_Int_Tables_number 1
_cell_length_a 7.9358
_cell_length_b 9.9530
_cell_length_c 14.5739
_cell_angle_alpha 90.00
_cell_angle_beta 120.84
_cell_angle_gamma 90.00
loop_
_symmetry_equiv_pos_as_xyz
'x,y,z'
loop_
_atom_site_label
_atom_site_fract_x
_atom_site_fract_y
_atom_site_fract_z
Ca1 0.0079 0.1138 0.3431
Ca2 0.0079 0.3862 0.8431
Ca3 0.3538 0.0828 0.0591
Ca4 0.3538 0.4172 0.5591
Ca5 0.6462 0.5828 0.4409
Ca6 0.6462 0.9172 0.9409
Ca7 0.9921 0.6138 0.1569
Ca8 0.9921 0.8862 0.6569
B1 0.0827 0.5718 0.6824
B2 0.0827 0.9282 0.1824
B3 0.1309 0.7105 0.5532
B4 0.1309 0.7895 0.0532
B5 0.2235 0.1764 0.2089
B6 0.2235 0.3236 0.7089
B7 0.2259 0.1118 0.8027
B8 0.2259 0.3882 0.3027
B9 0.2745 0.6723 0.8696
B10 0.2745 0.8277 0.3696
B11 0.2906 0.5837 0.0357
B12 0.2906 0.9163 0.5357
B13 0.2997 0.1102 0.6528
B14 0.2997 0.3898 0.1528
B15 0.4371 0.7096 0.5424
B16 0.4371 0.7904 0.0424
B17 0.5629 0.2096 0.9576
B18 0.5629 0.2904 0.4576
B19 0.7003 0.6102 0.8472
B20 0.7003 0.8898 0.3472
B21 0.7094 0.0837 0.4643
B22 0.7094 0.4163 0.9643
B23 0.7255 0.1723 0.6304
B24 0.7255 0.3277 0.1304
B25 0.7741 0.6118 0.6973
B26 0.7741 0.8882 0.1973
B27 0.7765 0.6764 0.2911
B28 0.7765 0.8236 0.7911
B29 0.8691 0.2105 0.9468
B30 0.8691 0.2895 0.4468
B31 0.9173 0.0718 0.8176
B32 0.9173 0.4282 0.3176
O1 0.0032 0.1503 0.9231
O2 0.0032 0.3497 0.4231
O3 0.0753 0.0287 0.8031
O4 0.0753 0.4713 0.3031
O5 0.1261 0.6515 0.0460
O6 0.1261 0.8485 0.5460
O7 0.1568 0.2457 0.2656
O8 0.1568 0.2543 0.7656
O9 0.1956 0.0449 0.1791
O10 0.1956 0.4551 0.6791
O11 0.2150 0.6711 0.7628
O12 0.2150 0.8289 0.2628
O13 0.2176 0.5762 0.9171
O14 0.2176 0.9238 0.4171
O15 0.2630 0.6375 0.5407
O16 0.2630 0.8625 0.0407
O17 0.2694 0.0412 0.7249
O18 0.2694 0.4588 0.2249
O19 0.3092 0.0557 0.5707
O20 0.3092 0.4443 0.0707
O21 0.3112 0.2489 0.1607
O22 0.3112 0.2511 0.6607
O23 0.3886 0.7202 0.4286
O24 0.3886 0.7798 0.9286
O25 0.4002 0.1128 0.9099
O26 0.4002 0.3872 0.4099
O27 0.4659 0.6622 0.0917
O28 0.4659 0.8378 0.5917
O29 0.5341 0.1622 0.4083
O30 0.5341 0.3378 0.9083
O31 0.5998 0.6128 0.5901
O32 0.5998 0.8872 0.0901
O33 0.6114 0.2202 0.0714
O34 0.6114 0.2798 0.5714
O35 0.6888 0.7489 0.3393
O36 0.6888 0.7511 0.8393
O37 0.6908 0.5557 0.9293
O38 0.6908 0.9443 0.4293
O39 0.7306 0.5412 0.7751
O40 0.7306 0.9588 0.2751
O41 0.7370 0.1375 0.9593
O42 0.7370 0.3625 0.4593
O43 0.7824 0.0762 0.5829
O44 0.7824 0.4238 0.0829
O45 0.7850 0.1711 0.7372
O46 0.7850 0.3289 0.2372
O47 0.8044 0.5449 0.3209
O48 0.8044 0.9551 0.8209
O49 0.8432 0.7457 0.2344
O50 0.8432 0.7543 0.7344
O51 0.8739 0.1515 0.4540
O52 0.8739 0.3485 0.9540
O53 0.9247 0.5287 0.6969
O54 0.9247 0.9713 0.1969
O55 0.9968 0.6503 0.5769
O56 0.9968 0.8497 0.0769
```

- Total DFT energy (no corrections): -7.903 eV per atom
- Calculated volume: 988 Å³/cell
- SG: No. 14